Record 1
Here is a geometry-optimized Cr2Au structure from the Alexandria database. Energies are from PBE.

Cell and atoms, written as POSCAR:
```
Cr2Au
1.0
-1.7453 1.7453 7.3016
1.7453 -1.7453 7.3016
1.7453 1.7453 -7.3016
Cr Au
4 2
direct
0.2934 0.5434 0.7500
0.4566 0.7066 0.7500
0.5434 0.2934 0.2500
0.7066 0.4566 0.2500
0.1250 0.8750 0.2500
0.8750 0.1250 0.7500
```

Results
As for the density of states at the Fermi level: 9.60 states/eV/cell. The theoretical density is 11.2 g cm⁻³. For the formation energy, the calculation gives 733.0 meV/atom. The calculation puts the total energy at -6.78 eV/atom. The crystal system is tetragonal.

---

Record 2
Here is a geometry-optimized Sr4CdCl structure from the Alexandria database. Energies are from PBE.

Cell and atoms, written as POSCAR:
```
Sr4CdCl
1.0
0.0000 5.3593 5.3593
5.3593 0.0000 5.3593
5.3593 5.3593 0.0000
Sr Cd Cl
4 1 1
direct
0.1241 0.1241 0.1241
0.1241 0.1241 0.6276
0.1241 0.6276 0.1241
0.6276 0.1241 0.1241
0.7500 0.7500 0.7500
0.5000 0.5000 0.5000
```

Results
As for the density of states at the Fermi level: 8.61 states/eV/cell. The theoretical density is 2.7 g cm⁻³. As for the uncorrected formation energy: 0.5 eV per formula unit. The calculation puts the total energy at -1.49 eV/atom. The crystal system is cubic.

---

Record 3
Here is a geometry-optimized Co2HPdAu structure from the Alexandria database. Energies are from PBE.

Cell and atoms, written as POSCAR:
```
Co2HPdAu
1.0
3.8629 0.0000 0.0000
0.0000 3.8629 0.0000
0.0000 0.0000 3.8870
Co H Pd Au
2 1 1 1
direct
0.0000 0.5000 0.0000
0.5000 0.0000 0.0000
0.0000 0.0000 0.0000
0.0000 0.0000 0.5000
0.5000 0.5000 0.5000
```

Results
As for the density of states at the Fermi level: 6.09 states/eV/cell. The theoretical density is 12.1 g cm⁻³. The calculation puts the total energy at -5.08 eV/atom. The crystal system is tetragonal. As for the polymorph energy (0 for the lowest one): 0 meV per atom.

---

Record 4
Here is a geometry-optimized CaBi3N structure from the Alexandria database. Energies are from PBE.

Cell and atoms, written as POSCAR:
```
CaBi3N
1.0
5.0531 0.0000 0.0000
0.0000 5.0531 0.0000
0.0000 0.0000 5.0531
Ca Bi N
1 3 1
direct
0.0000 0.0000 0.0000
0.0000 0.5000 0.5000
0.5000 0.0000 0.5000
0.5000 0.5000 0.0000
0.5000 0.5000 0.5000
```

Results
As for the density of states at the Fermi level: 4.15 states/eV/cell. The theoretical density is 8.8 g cm⁻³. As for the uncorrected formation energy: 0.9 eV per formula unit. The calculation puts the total energy at -4.22 eV/atom. The crystal system is cubic. As for the polymorph energy (0 for the lowest one): 0 meV per atom.

---

Record 5
Here is a geometry-optimized Fe2Si2Hg structure from the Alexandria database. Energies are from PBE.

Cell and atoms, written as POSCAR:
```
Fe2Si2Hg
1.0
6.9335 0.0000 0.0000
0.0000 6.9335 0.0000
0.0000 0.0000 2.7102
Fe Si Hg
4 4 2
direct
0.1516 0.3484 0.0000
0.3484 0.8484 0.0000
0.6516 0.1516 0.0000
0.8484 0.6516 0.0000
0.1348 0.6348 0.5000
0.3652 0.1348 0.5000
0.6348 0.8652 0.5000
0.8652 0.3652 0.5000
0.0000 0.0000 0.5000
0.5000 0.5000 0.5000
```

Results
As for the density of states at the Fermi level: 7.44 states/eV/cell. The theoretical density is 9.4 g cm⁻³. As for the uncorrected formation energy: 0.2 eV per formula unit. The calculation puts the total energy at -5.57 eV/atom. The crystal system is tetragonal. As for the polymorph energy (0 for the lowest one): 60 meV per atom.

---

Record 6
Here is a geometry-optimized MgSc2Nb structure from the Alexandria database. Energies are from PBE.

Cell and atoms, written as POSCAR:
```
MgSc2Nb
1.0
4.4464 0.0000 0.0000
0.0000 4.4464 0.0000
0.0000 0.0000 4.3075
Mg Sc Nb
1 2 1
direct
0.0000 0.0000 0.0000
0.0000 0.5000 0.5000
0.5000 0.0000 0.5000
0.5000 0.5000 0.0000
```

Results
As for the density of states at the Fermi level: 6.22 states/eV/cell. The theoretical density is 4.0 g cm⁻³. For the formation energy, the calculation gives 151.2 meV/atom. The calculation puts the total energy at -5.93 eV/atom. The crystal system is tetragonal. As for the polymorph energy (0 for the lowest one): 125 meV per atom.

---

Record 7
Here is a geometry-optimized TaAgPb2 structure from the Alexandria database. Energies are from PBE.

Cell and atoms, written as POSCAR:
```
TaAgPb2
1.0
3.7197 0.0000 0.0000
0.0000 3.7197 0.0000
0.0000 0.0000 6.5305
Ta Ag Pb
1 1 2
direct
0.0000 0.0000 0.0000
0.0000 0.0000 0.5000
0.5000 0.5000 0.2428
0.5000 0.5000 0.7572
```

Results
As for the density of states at the Fermi level: 3.00 states/eV/cell. The theoretical density is 12.9 g cm⁻³. For the formation energy, the calculation gives 546.7 meV/atom. The calculation puts the total energy at -4.98 eV/atom. The crystal system is tetragonal. As for the polymorph energy (0 for the lowest one): 216 meV per atom.

---

Record 8
Here is a geometry-optimized Pm4SeS5 structure from the Alexandria database. Energies are from PBE.

Cell and atoms, written as POSCAR:
```
Pm4SeS5
1.0
-2.1054 3.8971 8.2445
2.1054 -3.8971 8.2445
2.1054 3.8971 -8.2445
Pm Se S
4 1 5
direct
0.2120 0.2120 0.0000
0.2615 0.5000 0.7615
0.7385 0.5000 0.2385
0.7880 0.7880 0.0000
0.0000 0.0000 0.0000
0.0655 0.3330 0.7325
0.3996 0.6670 0.7325
0.5000 0.0000 0.5000
0.6004 0.3330 0.2675
0.9345 0.6670 0.2675
```

Results
The theoretical density is 5.0 g cm⁻³. As for the uncorrected formation energy: -19.8 eV per formula unit. The calculation puts the total energy at -6.29 eV/atom. The crystal system is orthorhombic.

---

Record 9
Here is a geometry-optimized AlZn3 structure from the Alexandria database. Energies are from PBE.

Cell and atoms, written as POSCAR:
```
AlZn3
1.0
4.6544 -1.4223 0.0000
4.6544 1.4223 0.0000
-0.5842 0.0000 4.7023
Al Zn
1 3
direct
0.0000 0.0000 0.0000
0.2501 0.2501 0.7484
0.5000 0.5000 0.5000
0.7499 0.7499 0.2516
```

Results
As for the density of states at the Fermi level: 0.80 states/eV/cell. The theoretical density is 6.0 g cm⁻³. For the formation energy, the calculation gives 12.9 meV/atom. The calculation puts the total energy at -1.88 eV/atom. The crystal system is monoclinic.

---

Record 10
Here is a geometry-optimized Sn4Pd9Au2 structure from the Alexandria database. Energies are from PBE.

Cell and atoms, written as POSCAR:
```
Sn4Pd9Au2
1.0
4.5305 0.0000 0.0000
-2.2652 3.9235 0.0000
0.0000 0.0000 14.7435
Sn Pd Au
4 9 2
direct
0.3333 0.6667 0.1447
0.3333 0.6667 0.3854
0.6667 0.3333 0.6146
0.6667 0.3333 0.8553
0.0000 0.0000 0.1053
0.0000 0.0000 0.3111
0.0000 0.0000 0.5000
0.0000 0.0000 0.6889
0.0000 0.0000 0.8947
0.3333 0.6667 0.5777
0.3333 0.6667 0.9647
0.6667 0.3333 0.0353
0.6667 0.3333 0.4223
0.3333 0.6667 0.7715
0.6667 0.3333 0.2285
```

Results
As for the density of states at the Fermi level: 6.87 states/eV/cell. The theoretical density is 11.6 g cm⁻³. For the formation energy, the calculation gives -370.9 meV/atom. The calculation puts the total energy at -4.99 eV/atom. The crystal system is trigonal.

---

Record 11
Here is a geometry-optimized TbSm5Dy12 structure from the Alexandria database. Energies are from PBE.

Cell and atoms, written as POSCAR:
```
TbSm5Dy12
1.0
5.6375 -8.6691 0.0000
5.6375 8.6691 0.0000
-0.0016 0.0000 5.9646
Tb Sm Dy
1 5 12
direct
0.0000 0.0000 0.0000
0.1659 0.8341 0.5000
0.3341 0.6659 0.0000
0.5000 0.5000 0.5000
0.6659 0.3341 0.0000
0.8341 0.1659 0.5000
0.0094 0.3421 0.9489
0.1569 0.4903 0.4488
0.1764 0.1764 0.5545
0.3217 0.3217 0.0544
0.3421 0.0094 0.9489
0.4903 0.1569 0.4488
0.5097 0.8431 0.5512
0.6579 0.9906 0.0511
0.6783 0.6783 0.9456
0.8236 0.8236 0.4455
0.8431 0.5097 0.5512
0.9906 0.6579 0.0511
```

Results
As for the density of states at the Fermi level: 32.18 states/eV/cell. The theoretical density is 8.1 g cm⁻³. For the formation energy, the calculation gives 109.2 meV/atom. The calculation puts the total energy at -4.53 eV/atom. The crystal system is monoclinic.

---

Record 12
Here is a geometry-optimized SiSBr2 structure from the Alexandria database. Energies are from PBE.

Cell and atoms, written as POSCAR:
```
SiSBr2
1.0
1.8770 1.0837 8.7363
-1.8770 1.0837 8.7363
0.0000 -2.1673 8.7363
Si S Br
1 1 2
direct
0.0000 0.0000 0.0000
0.5000 0.5000 0.5000
0.4029 0.4029 0.4029
0.5971 0.5971 0.5971
```

Results
As for the density of states at the Fermi level: 2.62 states/eV/cell. The theoretical density is 3.4 g cm⁻³. As for the uncorrected formation energy: 2.0 eV per formula unit. The calculation puts the total energy at -2.73 eV/atom. The crystal system is trigonal. As for the polymorph energy (0 for the lowest one): 393 meV per atom.